one) First-principles (GGA-PBEsol) data for a geometry-optimized LaTc2Os structure, as listed in the Alexandria database.

Lattice parameters (Å, degrees): 4.6988 4.6988 3.0552 90.00 90.00 90.00
Last column: nearest neighbours and their distance in Å.
Sites, in units of the cell vectors:
La  0.0000  0.0000  0.0000  8 Tc 2.80, 2 La 3.06
Tc  0.0000  0.5000  0.5000  4 Os 2.80, 4 La 2.80, 2 Tc 3.06
Tc  0.5000  0.0000  0.5000  4 Os 2.80, 4 La 2.80, 2 Tc 3.06
Os  0.5000  0.5000  0.0000  8 Tc 2.80, 2 Os 3.06

space group	P4/mmm

two) First-principles (GGA-PBEsol) data for a geometry-optimized LaTc2Os structure, as listed in the Alexandria database.

Lattice parameters (Å, degrees): 2.8261 2.8261 29.1615 90.00 90.00 120.00
Last column: nearest neighbours and their distance in Å.
Sites, in units of the cell vectors:
La  0.0000  0.0000  0.0000  6 La 2.83
La  0.3333  0.6667  0.6667  6 La 2.83
La  0.6667  0.3333  0.3333  6 La 2.83
Tc  0.0000  0.0000  0.4996  9 Tc 2.63-2.83, 3 Os 2.64
Tc  0.0000  0.0000  0.7620  9 Tc 2.63-2.83
Tc  0.3333  0.6667  0.1662  9 Tc 2.63-2.83, 3 Os 2.64
Tc  0.3333  0.6667  0.4287  9 Tc 2.63-2.83
Tc  0.6667  0.3333  0.0953  9 Tc 2.63-2.83
Tc  0.6667  0.3333  0.8329  9 Tc 2.63-2.83, 3 Os 2.64
Os  0.0000  0.0000  0.2376  3 Tc 2.64, 6 Os 2.83
Os  0.3333  0.6667  0.9042  3 Tc 2.64, 6 Os 2.83
Os  0.6667  0.3333  0.5709  3 Tc 2.64, 6 Os 2.83

space group	R3m

Comparing the structures above, two) comes out on top by 15.1 kJ/mol of atoms.